Density functional theory data (PBE) for TmPa2Zn after structural relaxation.

ΔH_f (0 K) in eV/atom: 0.245
Size of the total moment in μB per formula unit: 0.00
Space group: R-3m
DFT total energy in eV per atom: -5.94

Unit cell a=3.1253 b=3.1253 c=11.5517 alpha=82.23 beta=82.23 gamma=60.00
Element x y z (fractional)
Tm 0.0000 0.0000 0.0000
Pa 0.9085 0.9085 0.2745
Pa 0.0915 0.0915 0.7255
Zn 0.5000 0.5000 0.5000

---

Density functional theory data (PBE) for KRe2H after structural relaxation.

Relative energy among the computed polymorphs in meV per atom: 1795
Size of the total moment in μB per formula unit: 0.00
Space group: Fm-3m
DFT total energy in eV per atom: -4.30

Unit cell a=4.3786 b=4.3786 c=4.3786 alpha=60.00 beta=60.00 gamma=60.00
Element x y z (fractional)
Re 0.7500 0.7500 0.7500
Re 0.2500 0.2500 0.2500
K 0.5000 0.5000 0.5000
H 0.0000 0.0000 0.0000

---

Density functional theory data (PBE) for TbCeTcAg after structural relaxation.

ΔH_f (0 K) in eV/atom: -0.059
Size of the total moment in μB per formula unit: 0.38
Space group: F-43m
DFT total energy in eV per atom: -6.00

Unit cell a=5.0212 b=5.0212 c=5.0212 alpha=60.00 beta=60.00 gamma=60.00
Last column: magnetic moment on the atom in μB.
Element x y z (fractional)
Ag 0.5000 0.5000 0.5000  0.01
Ce 0.2500 0.2500 0.2500  0.35
Tc 0.0000 0.0000 0.0000  -0.06
Tb 0.7500 0.7500 0.7500  0.01

---

Density functional theory data (PBE) for Pr2HoAu3 after structural relaxation.

ΔH_f (0 K) in eV/atom: -0.780
Size of the total moment in μB per formula unit: 0.00
Space group: Pmmn
DFT total energy in eV per atom: -4.77

Unit cell a=3.6680 b=5.1961 c=15.8441 alpha=90.00 beta=90.00 gamma=90.00
Element x y z (fractional)
Pr 0.9897 0.0000 0.6679
Pr 0.0103 0.5000 0.1679
Pr 0.0103 0.5000 0.8321
Pr 0.9897 0.0000 0.3321
Au 0.5105 0.0000 0.1534
Au 0.4895 0.5000 0.6534
Au 0.5105 0.0000 0.8466
Au 0.5069 0.5000 0.0000
Au 0.4895 0.5000 0.3466
Au 0.4931 0.0000 0.5000
Ho 0.9913 0.5000 0.5000
Ho 0.0087 0.0000 0.0000

---

Density functional theory data (PBE) for TlCdO2 after structural relaxation.

Relative energy among the computed polymorphs in meV per atom: 13
Size of the total moment in μB per formula unit: 0.00
ΔE_f (raw) in kJ/mol of formula units: -296.8
Space group: R3m
DFT total energy in eV per atom: -4.07

Unit cell a=3.7429 b=3.7429 c=6.4832 alpha=73.22 beta=73.22 gamma=60.00
Element x y z (fractional)
O 0.5035 0.5035 0.4895
O 0.9966 0.9966 0.0103
Cd 0.6265 0.6265 0.1204
Tl 0.1234 0.1234 0.6298

---

Density functional theory data (PBE) for NaH3Pt after structural relaxation.

Relative energy among the computed polymorphs in meV per atom: 0
Size of the total moment in μB per formula unit: 0.00
Space group: Pm-3m
DFT total energy in eV per atom: -3.82

Unit cell a=3.6195 b=3.6195 c=3.6195 alpha=90.00 beta=90.00 gamma=90.00
Element x y z (fractional)
H 0.5000 0.0000 0.0000
H 0.0000 0.5000 0.0000
H 0.0000 0.0000 0.5000
Pt 0.0000 0.0000 0.0000
Na 0.5000 0.5000 0.5000

---

Density functional theory data (PBE) for ScAu2Cl after structural relaxation.

Relative energy among the computed polymorphs in meV per atom: 314
Size of the total moment in μB per formula unit: 0.00
ΔE_f (raw) in kJ/mol of formula units: -199.9
Space group: I-4m2
DFT total energy in eV per atom: -4.20

Unit cell a=4.7955 b=4.7955 c=4.7955 alpha=120.14 beta=120.14 gamma=89.76
Element x y z (fractional)
Sc 0.7500 0.2500 0.5000
Cl 0.5000 0.5000 0.0000
Au 0.0000 0.0000 0.0000
Au 0.2500 0.7500 0.5000

---

Density functional theory data (PBE) for CrSnSb after structural relaxation.

Size of the total moment in μB per formula unit: 0.00
ΔE_f (raw) in kJ/mol of formula units: 49.4
Space group: I4/mmm
DFT total energy in eV per atom: -5.75

Unit cell a=3.0661 b=3.0661 c=14.8432 alpha=95.93 beta=95.93 gamma=90.00
Element x y z (fractional)
Sb 0.8313 0.8313 0.6626
Sb 0.1687 0.1687 0.3374
Cr 0.7309 0.7309 0.4618
Cr 0.2691 0.2691 0.5382
Sn 0.4480 0.4480 0.8961
Sn 0.5520 0.5520 0.1039

---

Density functional theory data (PBE) for Tm4Cd3Co after structural relaxation.

ΔH_f (0 K) in eV/atom: -0.290
Size of the total moment in μB per formula unit: 0.69
Space group: P4/mmm
DFT total energy in eV per atom: -3.76

Unit cell a=3.3840 b=3.3840 c=16.2611 alpha=90.00 beta=90.00 gamma=90.00
Last column: magnetic moment on the atom in μB.
Element x y z (fractional)
Co 0.5000 0.5000 0.0000  0.87
Tm 0.0000 0.0000 0.0983  -0.12
Tm 0.0000 0.0000 0.9017  -0.12
Tm 0.0000 0.0000 0.3658  0.02
Tm 0.0000 0.0000 0.6342  0.02
Cd 0.5000 0.5000 0.5000  0.01
Cd 0.5000 0.5000 0.2344  0.00
Cd 0.5000 0.5000 0.7655  0.00

---

Density functional theory data (PBE) for BeAgBr2 after structural relaxation.

Relative energy among the computed polymorphs in meV per atom: 517
Size of the total moment in μB per formula unit: 0.00
ΔE_f (raw) in kJ/mol of formula units: 86.2
Space group: C2/m
DFT total energy in eV per atom: -2.26

Unit cell a=6.9058 b=5.6876 c=4.1735 alpha=63.80 beta=97.07 gamma=130.71
Element x y z (fractional)
Be 0.5000 0.5000 0.0000
Br 0.5000 0.0000 0.5000
Br 0.0000 0.0000 0.0000
Ag 0.0000 0.5000 0.5000

---

Density functional theory data (PBE) for YTi3Se after structural relaxation.

Relative energy among the computed polymorphs in meV per atom: 1571
Size of the total moment in μB per formula unit: 2.28
ΔE_f (raw) in kJ/mol of formula units: 700.2
Space group: Pm-3m
DFT total energy in eV per atom: -5.28

Unit cell a=4.9149 b=4.9149 c=4.9149 alpha=90.00 beta=90.00 gamma=90.00
Last column: magnetic moment on the atom in μB.
Element x y z (fractional)
Se 0.5000 0.5000 0.5000  -0.04
Ti 0.0000 0.0000 0.5000  0.43
Ti 0.5000 0.0000 0.0000  0.70
Ti 0.0000 0.5000 0.0000  0.57
Y 0.0000 0.0000 0.0000  0.01

---

Density functional theory data (PBE) for Sr2ZnTe after structural relaxation.

Relative energy among the computed polymorphs in meV per atom: 189
Size of the total moment in μB per formula unit: 0.00
ΔE_f (raw) in kJ/mol of formula units: -241.7
Space group: I-42d
DFT total energy in eV per atom: -2.57

Unit cell a=8.6452 b=8.6452 c=7.3435 alpha=53.94 beta=53.94 gamma=90.00
Element x y z (fractional)
Zn 0.5000 0.5000 0.0000
Zn 0.2500 0.7500 0.5000
Te 0.7500 0.2500 0.5000
Te 0.0000 0.0000 0.0000
Sr 0.8750 0.8704 0.7500
Sr 0.6204 0.1250 0.2500
Sr 0.3750 0.3796 0.7500
Sr 0.1296 0.6250 0.2500

---

Density functional theory data (PBE) for Li2GeAs2 after structural relaxation.

Relative energy among the computed polymorphs in meV per atom: 55
ΔH_f (0 K) in eV/atom: -0.314
Size of the total moment in μB per formula unit: 0.00
Space group: P4/mbm
DFT total energy in eV per atom: -3.86

Unit cell a=7.7968 b=7.7968 c=2.8134 alpha=90.00 beta=90.00 gamma=90.00
Element x y z (fractional)
Li 0.8806 0.3806 0.5000
Li 0.1194 0.6194 0.5000
Li 0.6194 0.8806 0.5000
Li 0.3806 0.1194 0.5000
As 0.8213 0.6787 0.0000
As 0.6787 0.1787 0.0000
As 0.3213 0.8213 0.0000
As 0.1787 0.3213 0.0000
Ge 0.5000 0.5000 0.0000
Ge 0.0000 0.0000 0.0000

---

Density functional theory data (PBE) for Nd4ThP5 after structural relaxation.

ΔH_f (0 K) in eV/atom: -1.562
Size of the total moment in μB per formula unit: 0.00
Space group: Immm
DFT total energy in eV per atom: -6.92

Unit cell a=4.1669 b=5.8822 c=11.0156 alpha=105.49 beta=100.90 gamma=90.00
Element x y z (fractional)
Nd 0.7988 0.7988 0.5975
Nd 0.3984 0.3984 0.7968
Nd 0.2012 0.2012 0.4025
Nd 0.6016 0.6016 0.2032
P 0.4023 0.9023 0.8047
P 0.7997 0.2997 0.5994
P 0.5977 0.0977 0.1953
P 0.0000 0.5000 0.0000
P 0.2003 0.7003 0.4006
Th 0.0000 0.0000 0.0000

---

Density functional theory data (PBE) for MnTlZn2 after structural relaxation.

Relative energy among the computed polymorphs in meV per atom: 73
ΔH_f (0 K) in eV/atom: 0.282
Size of the total moment in μB per formula unit: 3.12
Space group: Immm
DFT total energy in eV per atom: -3.24

Unit cell a=5.8824 b=5.8824 c=5.8824 alpha=150.64 beta=133.01 gamma=56.38
Last column: magnetic moment on the atom in μB.
Element x y z (fractional)
Zn 0.9650 0.9650 0.0000  -0.04
Zn 0.5350 0.5350 0.0000  -0.04
Mn 0.7500 0.2500 0.5000  3.24
Tl 0.2500 0.7500 0.5000  -0.08